Pm3Y6Ho2Er | PBE | optimized geometry

Values from the calculation:
* calculated formation energy: 19.6 meV per atom
* size of the total moment: 0.000 μB/f.u.
* symmetry: C2/m (12)

abc: 6.1999 6.1999 11.8348
angles: 94.99 94.99 119.96
Element x y z (fractional)
Er 0.0000 0.0000 0.0000
Pm 0.8333 0.1667 0.5000
Y 0.9176 0.5843 0.7532
Y 0.0824 0.4157 0.2468
Y 0.5843 0.9176 0.7532
Ho 0.6666 0.3334 0.0000
Y 0.7492 0.7492 0.2469
Pm 0.5000 0.5000 0.5000
Pm 0.1667 0.8333 0.5000
Y 0.2508 0.2508 0.7531
Y 0.4157 0.0824 0.2468
Ho 0.3334 0.6666 0.0000

---

SrBNF2 | PBE | optimized geometry

Values from the calculation:
* formation energy from raw total energies: -181 kJ per mole of atoms
* size of the total moment: 0.000 μB/f.u.
* symmetry: P4/mmm (123)
* offset from the most stable computed form: 0 meV per atom

abc: 4.4563 4.4563 2.8235
angles: 90.00 90.00 90.00
Element x y z (fractional)
F 0.0000 0.5000 0.0000
B 0.0000 0.0000 0.0000
Sr 0.5000 0.5000 0.5000
N 0.0000 0.0000 0.5000
F 0.5000 0.0000 0.0000

---

PdPb2Se2Cl2O6 | PBE | optimized geometry

Values from the calculation:
* formation energy from raw total energies: -90 kJ per mole of atoms
* size of the total moment: 0.039 μB/f.u.
* symmetry: P2_1/c (14)

abc: 5.3940 8.4562 13.3113
angles: 56.64 90.00 90.00
Element x y z (fractional)
O 0.1091 0.0614 0.1636
Pb 0.9382 0.1600 0.3076
O 0.8909 0.9386 0.8364
O 0.3909 0.0614 0.6636
O 0.2692 0.9355 0.9733
Pb 0.4382 0.8400 0.1924
Cl 0.6019 0.5526 0.8141
O 0.2082 0.6745 0.9153
Pb 0.5618 0.1600 0.8076
O 0.7918 0.3255 0.0847
O 0.7308 0.0645 0.0267
Cl 0.8981 0.5526 0.3141
Pd 0.0000 0.5000 0.5000
Pb 0.0618 0.8400 0.6924
O 0.2308 0.9355 0.4733
O 0.6091 0.9386 0.3364
Se 0.5452 0.2084 0.5286
Se 0.4548 0.7916 0.4714
Se 0.0452 0.7916 0.9714
Pd 0.5000 0.5000 0.0000
Cl 0.1019 0.4474 0.6859
Se 0.9548 0.2084 0.0286
O 0.7692 0.0645 0.5267
Cl 0.3981 0.4474 0.1859
O 0.2918 0.6745 0.4153
O 0.7082 0.3255 0.5847

---

MgSn3Ru | PBE | optimized geometry

Values from the calculation:
* calculated formation energy: 1212.2 meV per atom
* size of the total moment: 1.851 μB/f.u.
* symmetry: Pm-3m (221)
* offset from the most stable computed form: 1282 meV per atom

abc: 5.2122 5.2122 5.2122
angles: 90.00 90.00 90.00
Site moments in Bohr magnetons follow the coordinates.
Element x y z (fractional)
Mg 0.0000 0.0000 0.0000  0.01
Ru 0.5000 0.5000 0.5000  1.95
Sn 0.0000 0.0000 0.5000  -0.03
Sn 0.5000 0.0000 0.0000  -0.05
Sn 0.0000 0.5000 0.0000  -0.05

---

MgZr4Pb | PBE | optimized geometry

Values from the calculation:
* calculated formation energy: 237.8 meV per atom
* size of the total moment: 0.000 μB/f.u.
* symmetry: F-43m (216)

abc: 5.8864 5.8864 5.8864
angles: 60.00 60.00 60.00
Element x y z (fractional)
Pb 0.0000 0.0000 0.0000
Zr 0.3761 0.3761 0.3761
Zr 0.3761 0.3761 0.8718
Mg 0.7500 0.7500 0.7500
Zr 0.8718 0.3761 0.3761
Zr 0.3761 0.8718 0.3761

---

AgMo2W | PBE | optimized geometry

Values from the calculation:
* calculated formation energy: 399.3 meV per atom
* size of the total moment: 0.000 μB/f.u.
* symmetry: P2/m (10)
* offset from the most stable computed form: 153 meV per atom

abc: 4.4493 2.6909 5.6568
angles: 76.07 90.00 90.00
Element x y z (fractional)
Ag 0.5000 0.7500 0.7500
W 0.5000 0.2500 0.2500
Mo 0.0000 0.0166 0.0170
Mo 0.0000 0.4834 0.4830

---

Mn2AlTcH | PBE | optimized geometry

Values from the calculation:
* size of the total moment: 4.768 μB/f.u.
* symmetry: P4/mmm (123)
* offset from the most stable computed form: 0 meV per atom

abc: 3.7316 3.7316 3.9765
angles: 90.00 90.00 90.00
Site moments in Bohr magnetons follow the coordinates.
Element x y z (fractional)
H 0.0000 0.0000 0.0000  -0.01
Mn 0.0000 0.5000 0.0000  2.34
Al 0.5000 0.5000 0.5000  -0.05
Tc 0.0000 0.0000 0.5000  0.02
Mn 0.5000 0.0000 0.0000  2.34

---

BeInNi2Sn | PBE | optimized geometry

Values from the calculation:
* calculated formation energy: 1289.0 meV per atom
* size of the total moment: 0.000 μB/f.u.
* symmetry: P4/mmm (123)

abc: 4.7184 5.4754 4.7184
angles: 90.00 90.00 90.00
Element x y z (fractional)
Be 0.5000 0.5000 0.5000
Sn 0.0000 0.0000 0.0000
In 0.0000 0.5000 0.0000
Ni 0.5000 0.0000 0.0000
Ni 0.0000 0.0000 0.5000

---

CeSc2SbO8 | PBE | optimized geometry

Values from the calculation:
* formation energy from raw total energies: -254 kJ per mole of atoms
* size of the total moment: 0.021 μB/f.u.
* symmetry: Cmmm (65)

abc: 4.8497 4.8509 6.7360
angles: 90.00 90.00 90.85
Element x y z (fractional)
O 0.1942 0.8051 0.2218
Sb 0.0000 0.0000 0.0000
O 0.6832 0.6841 0.5000
Sc 0.5000 0.5000 0.7595
O 0.1942 0.8051 0.7782
O 0.8058 0.1949 0.7782
O 0.7046 0.7053 0.0000
O 0.3168 0.3159 0.5000
O 0.2954 0.2947 0.0000
Ce 0.0000 0.0000 0.5000
O 0.8058 0.1949 0.2218
Sc 0.5000 0.5000 0.2405

---

BaPrIn2Se4 | PBE | optimized geometry

Values from the calculation:
* formation energy from raw total energies: -115 kJ per mole of atoms
* size of the total moment: 0.000 μB/f.u.
* symmetry: P2/m (10)

abc: 4.4142 7.6009 7.9613
angles: 71.07 90.00 90.00
Element x y z (fractional)
Ba 0.5000 0.5000 0.0000
In 0.0000 0.0000 0.0000
Se 0.0000 0.7544 0.7183
In 0.5000 0.0000 0.5000
Se 0.5000 0.2622 0.7168
Se 0.5000 0.7378 0.2832
Pr 0.0000 0.5000 0.5000
Se 0.0000 0.2456 0.2817

---

GdMgBi | PBE | optimized geometry

Values from the calculation:
* calculated formation energy: -367.4 meV per atom
* size of the total moment: 6.992 μB/f.u.
* symmetry: P3m1 (156)
* offset from the most stable computed form: 0 meV per atom

abc: 4.0669 4.8788 4.8788
angles: 120.00 90.00 90.00
Site moments in Bohr magnetons follow the coordinates.
Element x y z (fractional)
Gd 0.6664 0.6667 0.3333  6.97
Mg 0.1679 0.0000 0.0000  -0.01
Bi 0.1657 0.3333 0.6667  -0.05

---

NbCdPd6 | PBE | optimized geometry

Values from the calculation:
* calculated formation energy: -405.5 meV per atom
* size of the total moment: 0.000 μB/f.u.
* symmetry: P4/mmm (123)

abc: 4.0039 4.0039 7.9895
angles: 90.00 90.00 90.00
Element x y z (fractional)
Cd 0.0000 0.0000 0.0000
Pd 0.5000 0.5000 0.5000
Pd 0.5000 0.0000 0.2609
Pd 0.0000 0.5000 0.2609
Pd 0.5000 0.0000 0.7391
Pd 0.5000 0.5000 0.0000
Pd 0.0000 0.5000 0.7391
Nb 0.0000 0.0000 0.5000

---

Q: What is the formula in the fifth record?
A: MgZr4Pb

---

Q: Which value of size of the total moment does entry 7 give?
A: 4.768 μB/f.u.

---

Q: Number 10 is which compound?
A: BaPrIn2Se4

---

Q: Look up the size of the total moment of the eleventh one.
A: 6.992 μB/f.u.